[1]
# MgScCd2, optimized geometry, DFT PBE
data_MgScCd2
_cell_length_a 4.8624
_cell_length_b 4.8624
_cell_length_c 3.6326
_cell_angle_alpha 90.00
_cell_angle_beta 90.00
_cell_angle_gamma 90.00
_symmetry_space_group_name_H-M 'P 4/m m m'
_symmetry_Int_Tables_number 123
_symmetry_space_group_name_Hall '-P 4 2'
loop_
_atom_site_label
_atom_site_type_symbol
_atom_site_fract_x
_atom_site_fract_y
_atom_site_fract_z
Mg1 Mg 0.0000 0.0000 0.0000
Sc1 Sc 0.5000 0.5000 0.0000
Cd1 Cd 0.0000 0.5000 0.5000
# * total energy: -2.65 eV per atom
# * ρ: 5.7 Mg/m³
# * total magnetic moment: 0.00 μB/f.u.

---

[2]
# ZrNbCoPb, optimized geometry, DFT PBE
data_ZrNbCoPb
_cell_length_a 6.6778
_cell_length_b 6.6778
_cell_length_c 6.6778
_cell_angle_alpha 90.00
_cell_angle_beta 90.00
_cell_angle_gamma 90.00
_symmetry_space_group_name_H-M 'F -4 3 m'
_symmetry_Int_Tables_number 216
_symmetry_space_group_name_Hall 'F -4 2 3'
loop_
_atom_site_label
_atom_site_type_symbol
_atom_site_fract_x
_atom_site_fract_y
_atom_site_fract_z
Zr1 Zr 0.0000 0.0000 0.0000
Nb1 Nb 0.2500 0.2500 0.2500
Co1 Co 0.2500 0.2500 0.7500
Pb1 Pb 0.0000 0.0000 0.5000
# * energy above the most stable polymorph in this dataset: 0 meV per atom
# * ρ: 10.0 Mg/m³
# * total magnetic moment: 2.19 μB/f.u.